A plane-wave DFT calculation with PBE was carried out for crystalline Dy6YHo2Er at its relaxed geometry.

Values from the calculation:
- Energy of formation from the pure elements: 0.12 eV/atom
- Uncorrected energy: -186.5 eV/cell

abc: 8.9948 15.0230 9.5111
angles: 90.00 97.47 90.00
Space group C2/c (No. 15)
Symmetry-distinct sites (fractional):
Dy 0.0612 0.1872 0.4443 [8 per cell]
Dy 0.1041 0.3936 0.6198 [8 per cell]
Dy 0.2060 0.2247 0.8144 [8 per cell]
Y 0.0000 0.0227 0.7500 [4 per cell]
Ho 0.2489 0.4461 0.9561 [8 per cell]
Er 0.0000 0.4094 0.2500 [4 per cell]